DFT (GGA-PBE) results for a relaxed Mg6Cd2Pd crystal.

## Properties
Its crystal system is hexagonal. The energy of formation from the pure elements comes out at -2.29 eV per formula unit. The calculation puts the total energy at -2.097 eV per atom.

Lattice parameters (Å, degrees): 8.0979 8.0979 3.2981 90.00 90.00 120.00
With the nearest neighbours (Å) after each atom.
Space group P-62m (No. 189)
Symmetry-distinct sites (fractional):
Mg 0.0000 0.3683 0.0000  1 Pd 2.98, 4 Cd 3.05, 6 Mg 3.13-3.30
Mg 0.0000 0.7355 0.5000  2 Pd 2.70, 2 Cd 3.02
Cd 0.3333 0.6667 0.5000  9 Mg 3.02-3.05, 2 Cd 3.30
Pd 0.0000 0.0000 0.0000  9 Mg 2.70-2.98

DFT (GGA-PBE) results for a relaxed MgCd2Pd crystal.

## Properties
Its crystal system is cubic. The energy of formation from the pure elements comes out at -1.25 eV per formula unit. The calculation puts the total energy at -2.466 eV per atom.

Lattice parameters (Å, degrees): 6.6941 6.6941 6.6941 90.00 90.00 90.00
With the nearest neighbours (Å) after each atom.
Space group F-43m (No. 216)
Symmetry-distinct sites (fractional):
Mg 0.0000 0.0000 0.0000  4 Cd 2.90, 4 Pd 2.90
Cd 0.0000 0.0000 0.5000  4 Pd 2.90, 4 Cd 2.90
Cd 0.2500 0.2500 0.2500  4 Cd 2.90, 4 Mg 2.90
Pd 0.2500 0.2500 0.7500  4 Cd 2.90, 4 Mg 2.90

DFT (GGA-PBE) results for a relaxed Mg3CdPd4 crystal.

## Properties
Its crystal system is trigonal. The energy of formation from the pure elements comes out at -5.23 eV per formula unit. The calculation puts the total energy at -3.962 eV per atom.

Lattice parameters (Å, degrees): 4.5345 4.5345 22.2539 90.00 90.00 120.00
With the nearest neighbours (Å) after each atom.
Space group R-3m (No. 166, hexagonal axes)
Symmetry-distinct sites (fractional):
Mg 0.0000 0.0000 0.0000  8 Pd 2.72-2.76
Mg 0.0000 0.0000 0.2494  8 Pd 2.75-2.83
Cd 0.0000 0.0000 0.5000  8 Pd 2.80-2.82
Pd 0.0000 0.0000 0.1220  5 Mg 2.72-2.83, 3 Cd 2.80
Pd 0.0000 0.0000 0.3731  7 Mg 2.75-2.80, 1 Cd 2.82

DFT (GGA-PBE) results for a relaxed Mg6Cd5Pd crystal.

## Properties
Its crystal system is monoclinic. The energy of formation from the pure elements comes out at -2.52 eV per formula unit. The calculation puts the total energy at -1.821 eV per atom.

Lattice parameters (Å, degrees): 5.0179 6.5801 7.8253 90.00 108.79 90.00
With the nearest neighbours (Å) after each atom.
Space group P2/m (No. 10)
Symmetry-distinct sites (fractional):
Mg 0.0000 0.2338 0.0000  2 Pd 2.94, 6 Cd 2.95-3.09, 3 Mg 3.08-3.24
Mg 0.3923 0.2392 0.6852  1 Pd 2.82, 7 Cd 2.91-3.10, 1 Mg 3.15
Cd 0.1145 0.0000 0.3383  8 Mg 2.95-3.06, 3 Cd 3.10-3.29
Cd 0.1262 0.5000 0.3426  8 Mg 3.03-3.10, 3 Cd 3.11-3.29
Cd 0.5000 0.5000 0.0000  8 Mg 2.91-3.06
Pd 0.5000 0.0000 0.0000  8 Mg 2.82-2.94

DFT (GGA-PBE) results for a relaxed Mg5Cd4Pd4 crystal.

## Properties
Its crystal system is tetragonal. The energy of formation from the pure elements comes out at -5.56 eV per formula unit. The calculation puts the total energy at -2.920 eV per atom.

Lattice parameters (Å, degrees): 10.4329 10.4329 4.4251 90.00 90.00 90.00
With the nearest neighbours (Å) after each atom.
Space group I4/m (No. 87)
Symmetry-distinct sites (fractional):
Mg 0.0000 0.0000 0.0000  4 Pd 2.63
Mg 0.0844 0.8054 0.5000  5 Pd 2.76-3.07, 3 Cd 2.95-3.00
Cd 0.1021 0.6188 0.0000  4 Pd 2.83-3.02, 3 Mg 2.95-3.00
Pd 0.1178 0.2229 0.0000  4 Mg 2.63-2.81, 3 Cd 2.83-2.87

DFT (GGA-PBE) results for a relaxed Mg4Cd7Pd crystal.

## Properties
Its crystal system is triclinic. The energy of formation from the pure elements comes out at -1.54 eV per formula unit. The calculation puts the total energy at -1.627 eV per atom.

Lattice parameters (Å, degrees): 5.3191 6.1180 8.4701 108.36 95.89 91.42
With the nearest neighbours (Å) after each atom.
Space group P-1 (No. 2)
Symmetry-distinct sites (fractional):
Mg 0.1834 0.3740 0.2658  1 Pd 2.70, 1 Cd 2.99
Mg 0.2483 0.8727 0.2487  1 Pd 2.76, 5 Cd 3.02-3.09, 1 Mg 3.05
Cd 0.2250 0.2907 0.6253  4 Mg 3.04-3.23, 5 Cd 3.11-3.20, 1 Pd 3.38
Cd 0.2395 0.0161 0.9260  4 Cd 2.92-3.09, 4 Mg 3.05-3.15, 1 Pd 3.16
Cd 0.3130 0.7721 0.5791  5 Cd 2.92-3.14, 4 Mg 2.99-3.14
Cd 0.5000 0.5000 0.0000  2 Pd 2.66
Pd 0.0000 0.5000 0.0000  2 Cd 2.66, 4 Mg 2.70-2.76

DFT (GGA-PBE) results for a relaxed Mg8Cd6Pd crystal.

## Properties
Its crystal system is trigonal. The energy of formation from the pure elements comes out at -1.42 eV per formula unit. The value obtained for the energy above the most stable polymorph in this dataset is 0.000 eV per atom. The calculation puts the total energy at -1.657 eV per atom.

Lattice parameters (Å, degrees): 8.1100 8.1100 17.5936 90.00 90.00 120.00
With the nearest neighbours (Å) after each atom.
Space group R-3 (No. 148, hexagonal axes)
Symmetry-distinct sites (fractional):
Mg 0.0000 0.0000 0.2366  6 Cd 3.01-3.13, 3 Mg 3.13
Mg 0.0268 0.2429 0.3970  1 Pd 2.60, 1 Cd 2.91
Cd 0.0444 0.2485 0.9064  6 Mg 2.91-3.18, 3 Cd 3.11-3.22
Pd 0.0000 0.0000 0.5000  6 Mg 2.60

DFT (GGA-PBE) results for a relaxed Mg2Cd8Pd3 crystal.

## Properties
Its crystal system is trigonal. The energy of formation from the pure elements comes out at -0.73 eV per formula unit. The calculation puts the total energy at -2.063 eV per atom.

Lattice parameters (Å, degrees): 5.5580 5.5580 31.1561 90.00 90.00 120.00
With the nearest neighbours (Å) after each atom.
Space group R-3m (No. 166, hexagonal axes)
Symmetry-distinct sites (fractional):
Mg 0.0000 0.0000 0.1385  1 Cd 2.69
Cd 0.0000 0.0000 0.2249  1 Mg 2.69, 1 Pd 2.74
Cd 0.9998 0.4999 0.2794  4 Cd 2.78, 3 Pd 2.82-2.97, 1 Mg 3.09
Pd 0.0000 0.0000 0.3129  10 Cd 2.74-2.97
Pd 0.0000 0.0000 0.5000  6 Mg 3.33, 6 Cd 3.69

- Which of these has the lowest energy of formation from the pure elements?
  Mg5Cd4Pd4

What did the second record say?
DFT (GGA-PBE) results for a relaxed MgCd2Pd crystal.

## Properties
Its crystal system is cubic. The energy of formation from the pure elements comes out at -1.25 eV per formula unit. The calculation puts the total energy at -2.466 eV per atom.

Lattice parameters (Å, degrees): 6.6941 6.6941 6.6941 90.00 90.00 90.00
With the nearest neighbours (Å) after each atom.
Space group F-43m (No. 216)
Symmetry-distinct sites (fractional):
Mg 0.0000 0.0000 0.0000  4 Cd 2.90, 4 Pd 2.90
Cd 0.0000 0.0000 0.5000  4 Pd 2.90, 4 Cd 2.90
Cd 0.2500 0.2500 0.2500  4 Cd 2.90, 4 Mg 2.90
Pd 0.2500 0.2500 0.7500  4 Cd 2.90, 4 Mg 2.90

- Which value of energy of formation from the pure elements does entry 2 give?
  -1.25 eV per formula unit